Material: Cr3PdI
Method: DFT, GGA-PBEsol
State: relaxed

Energy above the most stable polymorph in this dataset in meV/atom: 0
ρ in g/cm³: 5.484
Formation energy from raw total energies in eV per atom: 1.29

The structure in extended XYZ format:
```
5
Lattice="4.903 0.000 0.000 0.000 4.903 0.000 0.000 0.000 4.903" Properties=species:S:1:pos:R:3 pbc="T T T"
Cr 0.000 0.000 2.452
Cr 0.000 2.452 0.000
Cr 2.452 0.000 0.000
Pd 0.000 0.000 0.000
I 2.452 2.452 2.452
```